Below is a relaxed AlCu4Si2 crystal, with properties calculated at the PBE level.

Results
Space-group type: No. 186
Uncorrected energy, eV per atom: -4.3696

Cell: 3.9401 3.9401 15.3333 Å, 90.00 90.00 120.00°
Last column: nearest neighbours and their distance in Å.
Positions (direct):
Al 0.0000 0.0000 0.0000  4 Cu 2.47-2.56, 3 Si 2.60
Al 0.0000 0.0000 0.5000  4 Cu 2.47-2.56, 3 Si 2.60
Cu 0.0000 0.0000 0.1609  4 Cu 2.40-2.62, 1 Al 2.47, 3 Si 2.51
Cu 0.0000 0.0000 0.3174  4 Cu 2.40-2.51, 3 Si 2.64
Cu 0.0000 0.0000 0.6609  4 Cu 2.40-2.62, 1 Al 2.47, 3 Si 2.51
Cu 0.0000 0.0000 0.8174  4 Cu 2.40-2.51, 3 Si 2.64
Cu 0.3333 0.6667 0.0761  2 Si 2.35-2.42, 3 Al 2.56, 3 Cu 2.62
Cu 0.3333 0.6667 0.3870  4 Si 2.32-2.42, 3 Cu 2.51
Cu 0.6667 0.3333 0.5761  2 Si 2.35-2.42, 3 Al 2.56, 3 Cu 2.62
Cu 0.6667 0.3333 0.8870  4 Si 2.32-2.42, 3 Cu 2.51
Si 0.3333 0.6667 0.2294  5 Cu 2.35-2.51
Si 0.3333 0.6667 0.9182  4 Cu 2.32-2.42, 3 Al 2.60
Si 0.6667 0.3333 0.4182  4 Cu 2.32-2.42, 3 Al 2.60
Si 0.6667 0.3333 0.7294  5 Cu 2.35-2.51

=====

Below is a relaxed AlCuSi3 crystal, with properties calculated at the PBE level.

Results
Space-group type: No. 221
Uncorrected energy, eV per atom: -3.6960

Cell: 4.7055 4.7055 4.7055 Å, 90.00 90.00 90.00°
Last column: nearest neighbours and their distance in Å.
Positions (direct):
Al 0.0000 0.0000 0.0000  6 Si 2.35
Cu 0.5000 0.5000 0.5000  12 Si 3.33
Si 0.0000 0.0000 0.5000  2 Al 2.35
Si 0.0000 0.5000 0.0000  2 Al 2.35
Si 0.5000 0.0000 0.0000  2 Al 2.35

=====

Below is a relaxed Al2Cu4Si crystal, with properties calculated at the PBE level.

Results
Space-group type: No. 156
Uncorrected energy, eV per atom: -4.1220

Cell: 2.7193 2.7193 14.9945 Å, 90.00 90.00 120.00°
Last column: nearest neighbours and their distance in Å.
Positions (direct):
Al 0.0000 0.0000 0.0000  6 Cu 2.57-2.58, 6 Al 2.72
Al 0.3333 0.6667 0.6975  4 Cu 2.49-2.58, 6 Al 2.72
Cu 0.3333 0.6667 0.4242  3 Si 2.49, 9 Cu 2.59-2.72
Cu 0.3333 0.6667 0.8639  4 Al 2.49-2.57, 6 Cu 2.72
Cu 0.6667 0.3333 0.1362  1 Si 2.38, 3 Al 2.58
Cu 0.6667 0.3333 0.5613  3 Al 2.58, 9 Cu 2.59-2.72
Si 0.6667 0.3333 0.2950  4 Cu 2.38-2.49

=====

Below is a relaxed Al3CuSi2 crystal, with properties calculated at the PBE level.

Results
Space-group type: No. 191
Uncorrected energy, eV per atom: -3.8732

Cell: 5.2125 5.2125 4.4151 Å, 90.00 90.00 120.00°
Last column: nearest neighbours and their distance in Å.
Positions (direct):
Al 0.0000 0.5000 0.0000  4 Al 2.61, 4 Si 2.67
Al 0.5000 0.0000 0.0000  4 Al 2.61, 4 Si 2.67
Al 0.5000 0.5000 0.0000  4 Al 2.61, 4 Si 2.67
Cu 0.0000 0.0000 0.5000  6 Si 3.01
Si 0.3333 0.6667 0.5000  6 Al 2.67
Si 0.6667 0.3333 0.5000  6 Al 2.67

=====

Below is a relaxed AlCu2Si crystal, with properties calculated at the PBE level.

Results
Space-group type: No. 12
Uncorrected energy, eV per atom: -4.2158

Cell: 5.1232 5.1232 8.2215 Å, 103.09 103.09 55.19°
Last column: nearest neighbours and their distance in Å.
Positions (direct):
Al 0.0000 0.0000 0.0000  6 Cu 2.38-2.45
Al 0.1798 0.1798 0.4991  6 Cu 2.46-2.61, 2 Al 2.69
Al 0.8202 0.8202 0.5009  6 Cu 2.46-2.61, 2 Al 2.69
Cu 0.0561 0.0561 0.7321  3 Al 2.38-2.47, 4 Cu 2.55-2.64
Cu 0.0642 0.5602 0.7805  4 Cu 2.35-2.64, 3 Al 2.45-2.61, 1 Si 2.56
Cu 0.4398 0.9358 0.2195  4 Cu 2.35-2.64, 3 Al 2.45-2.61, 1 Si 2.56
Cu 0.5602 0.0642 0.7805  4 Cu 2.35-2.64, 3 Al 2.45-2.61, 1 Si 2.56
Cu 0.9358 0.4398 0.2195  4 Cu 2.35-2.64, 3 Al 2.45-2.61, 1 Si 2.56
Cu 0.9439 0.9439 0.2679  3 Al 2.38-2.47, 4 Cu 2.55-2.64
Si 0.3783 0.3783 0.0876  6 Cu 2.56-2.78, 2 Al 2.79
Si 0.5000 0.5000 0.5000  6 Al 2.88-2.91, 4 Cu 3.01
Si 0.6217 0.6217 0.9124  6 Cu 2.56-2.78, 2 Al 2.79

=====

Below is a relaxed Al3CuSi2 crystal, with properties calculated at the PBE level.

Results
Space-group type: No. 191
Uncorrected energy, eV per atom: -4.2082

Cell: 7.9932 7.9932 3.4725 Å, 90.00 90.00 120.00°
Last column: nearest neighbours and their distance in Å.
Positions (direct):
Al 0.1914 0.3829 0.0000  2 Cu 2.62, 2 Al 2.65, 4 Si 2.77
Al 0.1914 0.8086 0.0000  2 Cu 2.62, 2 Al 2.65, 4 Si 2.77
Al 0.3829 0.1914 0.0000  2 Cu 2.62, 2 Al 2.65, 4 Si 2.77
Al 0.6171 0.8086 0.0000  2 Cu 2.62, 2 Al 2.65, 4 Si 2.77
Al 0.8086 0.1914 0.0000  2 Cu 2.62, 2 Al 2.65, 4 Si 2.77
Al 0.8086 0.6171 0.0000  2 Cu 2.62, 2 Al 2.65, 4 Si 2.77
Cu 0.3333 0.6667 0.5000  3 Si 2.31
Cu 0.6667 0.3333 0.5000  3 Si 2.31
Si 0.0000 0.0000 0.5000  12 Al 3.17, 2 Si 3.47
Si 0.0000 0.5000 0.5000  2 Cu 2.31
Si 0.5000 0.0000 0.5000  2 Cu 2.31
Si 0.5000 0.5000 0.5000  2 Cu 2.31

=====

Below is a relaxed Al2CuSi4 crystal, with properties calculated at the PBE level.

Results
Space-group type: No. 164
Uncorrected energy, eV per atom: -4.4499

Cell: 3.8147 3.8147 10.6221 Å, 90.00 90.00 120.00°
Last column: nearest neighbours and their distance in Å.
Positions (direct):
Al 0.3333 0.6667 0.1966  4 Si 2.49-2.60
Al 0.6667 0.3333 0.8034  4 Si 2.49-2.60
Cu 0.0000 0.0000 0.5000  6 Si 2.32
Si 0.3333 0.6667 0.4309  3 Cu 2.32, 1 Al 2.49
Si 0.3333 0.6667 0.9329  4 Al 2.60-2.80, 3 Si 2.62
Si 0.6667 0.3333 0.0671  4 Al 2.60-2.80, 3 Si 2.62
Si 0.6667 0.3333 0.5691  3 Cu 2.32, 1 Al 2.49

=====

Below is a relaxed AlCu3Si2 crystal, with properties calculated at the PBE level.

Results
Space-group type: No. 194
Uncorrected energy, eV per atom: -4.2961

Cell: 4.9345 4.9345 7.9678 Å, 90.00 90.00 120.00°
Last column: nearest neighbours and their distance in Å.
Positions (direct):
Al 0.0000 0.0000 0.0000  6 Cu 2.46
Al 0.0000 0.0000 0.5000  6 Cu 2.46
Cu 0.1697 0.3394 0.2500  4 Cu 2.42-2.51, 2 Al 2.46, 2 Si 2.66
Cu 0.1697 0.8303 0.2500  4 Cu 2.42-2.51, 2 Al 2.46, 2 Si 2.66
Cu 0.3394 0.1697 0.7500  4 Cu 2.42-2.51, 2 Al 2.46, 2 Si 2.66
Cu 0.6606 0.8303 0.2500  4 Cu 2.42-2.51, 2 Al 2.46, 2 Si 2.66
Cu 0.8303 0.1697 0.7500  4 Cu 2.42-2.51, 2 Al 2.46, 2 Si 2.66
Cu 0.8303 0.6606 0.7500  4 Cu 2.42-2.51, 2 Al 2.46, 2 Si 2.66
Si 0.3333 0.6667 0.5344  3 Cu 2.66, 3 Al 2.86, 3 Si 2.90
Si 0.3333 0.6667 0.9656  3 Cu 2.66, 3 Al 2.86, 3 Si 2.90
Si 0.6667 0.3333 0.0344  3 Cu 2.66, 3 Al 2.86, 3 Si 2.90
Si 0.6667 0.3333 0.4656  3 Cu 2.66, 3 Al 2.86, 3 Si 2.90

=====

Below is a relaxed Al5Cu2Si crystal, with properties calculated at the PBE level.

Results
Space-group type: No. 139
Uncorrected energy, eV per atom: -4.0785

Cell: 3.9470 3.9470 15.1411 Å, 90.00 90.00 90.00°
Last column: nearest neighbours and their distance in Å.
Positions (direct):
Al 0.0000 0.0000 0.0000  4 Si 2.79, 8 Al 2.87
Al 0.0000 0.5000 0.1373  4 Cu 2.61, 6 Al 2.79-2.87, 2 Si 2.87
Al 0.0000 0.5000 0.3627  4 Cu 2.61, 6 Al 2.79-2.87, 2 Si 2.87
Al 0.0000 0.5000 0.6373  4 Cu 2.61, 6 Al 2.79-2.87, 2 Si 2.87
Al 0.0000 0.5000 0.8627  4 Cu 2.61, 6 Al 2.79-2.87, 2 Si 2.87
Al 0.5000 0.0000 0.1373  4 Cu 2.61, 6 Al 2.79-2.87, 2 Si 2.87
Al 0.5000 0.0000 0.3627  4 Cu 2.61, 6 Al 2.79-2.87, 2 Si 2.87
Al 0.5000 0.0000 0.6373  4 Cu 2.61, 6 Al 2.79-2.87, 2 Si 2.87
Al 0.5000 0.0000 0.8627  4 Cu 2.61, 6 Al 2.79-2.87, 2 Si 2.87
Al 0.5000 0.5000 0.5000  4 Si 2.79, 8 Al 2.87
Cu 0.0000 0.0000 0.2499  8 Al 2.61, 4 Cu 2.79
Cu 0.0000 0.0000 0.7501  8 Al 2.61, 4 Cu 2.79
Cu 0.5000 0.5000 0.2501  8 Al 2.61, 4 Cu 2.79
Cu 0.5000 0.5000 0.7499  8 Al 2.61, 4 Cu 2.79
Si 0.0000 0.0000 0.5000  12 Al 2.79-2.87
Si 0.5000 0.5000 0.0000  12 Al 2.79-2.87

=====

Below is a relaxed AlCu4Si2 crystal, with properties calculated at the PBE level.

Results
Space-group type: No. 11
Uncorrected energy, eV per atom: -4.3938

Cell: 6.8954 3.9552 7.4231 Å, 90.00 108.36 90.00°
Last column: nearest neighbours and their distance in Å.
Positions (direct):
Al 0.1479 0.2500 0.2893  7 Cu 2.50-2.80
Al 0.8521 0.7500 0.7107  7 Cu 2.50-2.80
Cu 0.0709 0.2500 0.9363  3 Si 2.41-2.46, 4 Cu 2.48-2.66, 1 Al 2.50
Cu 0.0827 0.2500 0.6053  3 Si 2.41-2.43, 3 Cu 2.48-2.56, 1 Al 2.52
Cu 0.4684 0.2500 0.1255  4 Si 2.35-2.44
Cu 0.4884 0.2500 0.6161  4 Si 2.43-2.56, 4 Cu 2.66-2.71
Cu 0.5116 0.7500 0.3839  4 Si 2.43-2.56, 4 Cu 2.66-2.71
Cu 0.5316 0.7500 0.8745  4 Si 2.35-2.44
Cu 0.9173 0.7500 0.3947  3 Si 2.41-2.43, 3 Cu 2.48-2.56, 1 Al 2.52
Cu 0.9291 0.7500 0.0637  3 Si 2.41-2.46, 4 Cu 2.48-2.66, 1 Al 2.50
Si 0.2752 0.7500 0.5750  7 Cu 2.36-2.47
Si 0.2766 0.7500 0.0395  7 Cu 2.35-2.56
Si 0.7234 0.2500 0.9605  7 Cu 2.35-2.56
Si 0.7248 0.2500 0.4250  7 Cu 2.36-2.47

=====

Below is a relaxed AlCuSi crystal, with properties calculated at the PBE level.

Results
Space-group type: No. 5
Uncorrected energy, eV per atom: -4.3686

Cell: 6.3354 6.3774 4.6510 Å, 90.00 106.54 90.00°
Last column: nearest neighbours and their distance in Å.
Positions (direct):
Al 0.0000 0.0000 0.0000  4 Cu 2.58-2.63, 4 Si 2.58-2.84
Al 0.0000 0.3391 0.5000  4 Cu 2.54-2.84, 4 Si 2.60
Al 0.5000 0.5000 0.0000  4 Cu 2.58-2.63, 4 Si 2.58-2.84
Al 0.5000 0.8391 0.5000  4 Cu 2.54-2.84, 4 Si 2.60
Cu 0.1826 0.7372 0.7055  4 Si 2.46-2.57, 3 Al 2.54-2.63, 1 Cu 2.55
Cu 0.3174 0.2372 0.2945  4 Si 2.46-2.57, 3 Al 2.54-2.63, 1 Cu 2.55
Cu 0.6826 0.2372 0.7055  4 Si 2.46-2.57, 3 Al 2.54-2.63, 1 Cu 2.55
Cu 0.8174 0.7372 0.2945  4 Si 2.46-2.57, 3 Al 2.54-2.63, 1 Cu 2.55
Si 0.1765 0.6008 0.2074  4 Cu 2.46-2.57, 1 Si 2.50, 3 Al 2.58-2.60
Si 0.3235 0.1008 0.7926  4 Cu 2.46-2.57, 1 Si 2.50, 3 Al 2.58-2.60
Si 0.6765 0.1008 0.2074  4 Cu 2.46-2.57, 1 Si 2.50, 3 Al 2.58-2.60
Si 0.8235 0.6008 0.7926  4 Cu 2.46-2.57, 1 Si 2.50, 3 Al 2.58-2.60

=====

Below is a relaxed AlCu2Si2 crystal, with properties calculated at the PBE level.

Results
Space-group type: No. 127
Uncorrected energy, eV per atom: -4.3863

Cell: 7.5689 7.5689 2.5234 Å, 90.00 90.00 90.00°
Last column: nearest neighbours and their distance in Å.
Positions (direct):
Al 0.0000 0.0000 0.0000  2 Al 2.52
Al 0.5000 0.5000 0.0000  2 Al 2.52
Cu 0.1602 0.3398 0.5000  6 Si 2.52-2.58, 2 Cu 2.52
Cu 0.3398 0.8398 0.5000  6 Si 2.52-2.58, 2 Cu 2.52
Cu 0.6602 0.1602 0.5000  6 Si 2.52-2.58, 2 Cu 2.52
Cu 0.8398 0.6602 0.5000  6 Si 2.52-2.58, 2 Cu 2.52
Si 0.1357 0.6357 0.0000  6 Cu 2.52-2.58, 2 Si 2.52
Si 0.3643 0.1357 0.0000  6 Cu 2.52-2.58, 2 Si 2.52
Si 0.6357 0.8643 0.0000  6 Cu 2.52-2.58, 2 Si 2.52
Si 0.8643 0.3643 0.0000  6 Cu 2.52-2.58, 2 Si 2.52